Entry 1:
Sr4Cu2MoWO12 at its PBEsol-relaxed geometry. Source: Alexandria, functional SCAN.

Properties
As for the symmetry: P4/m, No. 83. The formation energy without anion corrections comes out at -2455 meV per atom.

Cell lengths 5.345, 5.345, 8.544 Å; angles 90.00, 90.00, 90.00 degrees
Fractional positions:
1 Sr 0.000 0.500 0.248
2 Sr 0.000 0.500 0.752
3 Sr 0.500 0.000 0.248
4 Sr 0.500 0.000 0.752
5 Cu 0.000 0.000 0.000
6 Cu 0.500 0.500 0.500
7 Mo 0.500 0.500 0.000
8 W 0.000 0.000 0.500
9 O 0.000 0.000 0.274
10 O 0.000 0.000 0.726
11 O 0.195 0.301 0.500
12 O 0.202 0.698 0.000
13 O 0.301 0.805 0.500
14 O 0.302 0.202 0.000
15 O 0.500 0.500 0.224
16 O 0.500 0.500 0.776
17 O 0.698 0.798 0.000
18 O 0.699 0.195 0.500
19 O 0.798 0.302 0.000
20 O 0.805 0.699 0.500

=====

Entry 2:
CoAsOs at its PBEsol-relaxed geometry. Source: Alexandria, functional SCAN.

Properties
The formation enthalpy at 0 K is 302 meV/atom. As for the symmetry: I4mm, No. 107.

Cell lengths 4.947, 4.947, 4.947 Å; angles 145.29, 145.29, 49.91 degrees
Fractional positions:
1 Co 0.000 0.000 0.000
2 As 0.348 0.348 0.000
3 Os 0.686 0.686 0.000

=====

Number 1: Fermi-level density of states 0.15 states/eV per cell. Number 2: Fermi-level density of states 1.45 states/eV per cell.